The following is a DFT calculation (PBE) of a relaxed structure of Tm3Cd2Au.

Properties
mass density: 10.60 g/cm³
calculated formation energy: -3.057 eV per formula unit
excess energy over the best structure of this formula in the dataset: 0.000 eV per atom

a = 3.6341 Å, b = 3.6341 Å, c = 11.0152 Å
α = 90.00°, β = 90.00°, γ = 90.00°
Fractional positions:
1 Tm 0.0000 0.0000 0.0000
2 Tm 0.0000 0.0000 0.6543
3 Tm 0.0000 0.0000 0.3457
4 Cd 0.5000 0.5000 0.8320
5 Cd 0.5000 0.5000 0.1680
6 Au 0.5000 0.5000 0.5000



The following is a DFT calculation (PBE) of a relaxed structure of TmCd6Au.

Properties
mass density: 9.55 g/cm³
calculated formation energy: -1.340 eV per formula unit

a = 4.8611 Å, b = 5.9724 Å, c = 6.9080 Å
α = 115.61°, β = 90.00°, γ = 90.00°
Fractional positions:
1 Tm 0.5000 0.6937 0.3873
2 Cd 0.5000 0.6711 0.8595
3 Cd 0.5000 0.1884 0.8595
4 Cd 0.0000 0.8236 0.1611
5 Cd 0.0000 0.3375 0.1611
6 Cd 0.0000 0.2962 0.5924
7 Cd 0.0000 0.8531 0.7062
8 Au 0.5000 0.1365 0.2729



The following is a DFT calculation (PBE) of a relaxed structure of TmCdAu2.

Properties
mass density: 13.29 g/cm³
calculated formation energy: -2.473 eV per formula unit

a = 3.5555 Å, b = 3.5555 Å, c = 6.6763 Å
α = 90.00°, β = 90.00°, γ = 90.00°
Fractional positions:
1 Tm 0.5000 0.5000 0.0000
2 Au 0.0000 0.0000 0.7547
3 Au 0.0000 0.0000 0.2453
4 Cd 0.5000 0.5000 0.5000